# TmRePb

An optimized crystal structure of TmRePb (GGA-PBE, the Open Quantum Materials Database).

abc: 6.668 6.668 6.668
angles: 90.00 90.00 90.00
Fractional coordinates of all 12 atoms:
Tm: 0.000 0.000 0.000
Tm: 0.000 0.500 0.500
Tm: 0.500 0.000 0.500
Tm: 0.500 0.500 0.000
Re: 0.000 0.000 0.500
Re: 0.000 0.500 0.000
Re: 0.500 0.000 0.000
Re: 0.500 0.500 0.500
Pb: 0.250 0.250 0.750
Pb: 0.250 0.750 0.250
Pb: 0.750 0.250 0.250
Pb: 0.750 0.750 0.750

Computed properties:
Raw total energy   -72.38 eV/cell
Space-group type   F-43m